Below is a geometry-optimized MnBeNO2 structure, with properties calculated at the GGA+U level.

Raw total energy: -5.67 eV/atom
Magnetization: 2.00 μB per formula unit

Cell: 3.752 3.752 3.686 Å, 90.00 90.00 90.00°
Each line ends with the local moment (μB).
Fractional coordinates of all 5 atoms:
Be1 0.500 0.500 0.500  0.07
O1 0.000 0.500 0.000  -0.16
O2 0.500 0.000 0.000  -0.16
Mn1 0.000 0.000 0.000  3.05
N1 0.000 0.000 0.500  -0.68